First-principles (GGA-PBE) data for crystalline Ta2GaBi at its relaxed geometry, as listed in Alexandria via LeMat-Bulk.

Geometry as POSCAR:
```
Ta2GaBi
1.0
6.758 0.000 0.000
0.000 6.758 0.000
0.000 0.000 6.758
Ta Ga Bi
8 4 4
Direct
0.250 0.250 0.250 Ta
0.250 0.250 0.750 Ta
0.250 0.750 0.250 Ta
0.250 0.750 0.750 Ta
0.750 0.250 0.250 Ta
0.750 0.250 0.750 Ta
0.750 0.750 0.250 Ta
0.750 0.750 0.750 Ta
0.000 0.000 0.000 Ga
0.000 0.500 0.500 Ga
0.500 0.000 0.500 Ga
0.500 0.500 0.000 Ga
0.000 0.000 0.500 Bi
0.000 0.500 0.000 Bi
0.500 0.000 0.000 Bi
0.500 0.500 0.500 Bi
```

Values from the calculation:
formation enthalpy at 0 K	0.4900	eV/atom